# 1
A plane-wave DFT calculation with GGA-PBE was carried out for crystalline KLaZnSe3 at its relaxed geometry.

Values from the calculation:
Magnetic moment = 0.0 Bohr magnetons per cell
Crystal system = orthorhombic
Uncorrected energy = -4.31 eV/atom

Lattice parameters (Å, degrees): 8.9423 4.4045 16.6656 90.00 90.00 90.00
With the nearest neighbours (Å) after each atom.
Element x y z (fractional)
K  0.0753  0.2500  0.2106  7 Se 3.24-3.48, 2 Zn 3.57
K  0.4247  0.7500  0.7106  7 Se 3.24-3.48, 2 Zn 3.57
K  0.5753  0.2500  0.2894  7 Se 3.24-3.48, 2 Zn 3.57
K  0.9247  0.7500  0.7894  7 Se 3.24-3.48, 2 Zn 3.57
La  0.2432  0.7500  0.4503  6 Se 2.87-3.20
La  0.2568  0.2500  0.9503  6 Se 2.87-3.20
La  0.7432  0.7500  0.0497  6 Se 2.87-3.20
La  0.7568  0.2500  0.5497  6 Se 2.87-3.20
Zn  0.1400  0.2500  0.6392  4 Se 2.42-2.63
Zn  0.3600  0.7500  0.1392  4 Se 2.42-2.63
Zn  0.6400  0.2500  0.8608  4 Se 2.42-2.63
Zn  0.8600  0.7500  0.3608  4 Se 2.42-2.63
Se  0.0053  0.7500  0.5913  2 Zn 2.63
Se  0.1330  0.7500  0.0518  1 Zn 2.50
Se  0.1905  0.2500  0.7819  1 Zn 2.42
Se  0.3095  0.7500  0.2819  1 Zn 2.42
Se  0.3670  0.2500  0.5518  1 Zn 2.50
Se  0.4947  0.2500  0.0913  2 Zn 2.63
Se  0.5053  0.7500  0.9087  2 Zn 2.63
Se  0.6330  0.7500  0.4482  1 Zn 2.50
Se  0.6905  0.2500  0.7181  1 Zn 2.42
Se  0.8095  0.7500  0.2181  1 Zn 2.42
Se  0.8670  0.2500  0.9482  1 Zn 2.50
Se  0.9947  0.2500  0.4087  2 Zn 2.63

=====

# 2
A plane-wave DFT calculation with GGA-PBE was carried out for crystalline AlCuPt at its relaxed geometry.

Values from the calculation:
Magnetic moment = 0.0 Bohr magnetons per cell
Energy above the lowest structure with this stoichiometry = 0.000 eV per formula unit
Crystal system = cubic

Lattice parameters (Å, degrees): 5.8594 5.8594 5.8594 90.00 90.00 90.00
With the nearest neighbours (Å) after each atom.
Element x y z (fractional)
Al  0.0000  0.0000  0.0000  4 Pt 2.54
Al  0.0000  0.5000  0.5000  4 Pt 2.54
Al  0.5000  0.0000  0.5000  4 Pt 2.54
Al  0.5000  0.5000  0.0000  4 Pt 2.54
Cu  0.0000  0.0000  0.5000  4 Pt 2.54
Cu  0.0000  0.5000  0.0000  4 Pt 2.54
Cu  0.5000  0.0000  0.0000  4 Pt 2.54
Cu  0.5000  0.5000  0.5000  4 Pt 2.54
Pt  0.2500  0.2500  0.2500  4 Al 2.54, 4 Cu 2.54
Pt  0.2500  0.7500  0.7500  4 Al 2.54, 4 Cu 2.54
Pt  0.7500  0.2500  0.7500  4 Al 2.54, 4 Cu 2.54
Pt  0.7500  0.7500  0.2500  4 Al 2.54, 4 Cu 2.54

=====

# 3
A plane-wave DFT calculation with GGA-PBE was carried out for crystalline Sr2Cd2O5 at its relaxed geometry.

Values from the calculation:
Energy above the lowest structure with this stoichiometry = 0.000 eV per formula unit
Crystal system = tetragonal

Lattice parameters (Å, degrees): 4.1878 4.1878 7.8069 90.00 90.00 90.00
With the nearest neighbours (Å) after each atom.
Element x y z (fractional)
Sr  0.0000  0.0000  0.0000  8 O 2.63
Sr  0.0000  0.0000  0.5000  12 O 2.96-3.12
Cd  0.5000  0.5000  0.2271  5 O 2.10-2.13
Cd  0.5000  0.5000  0.7729  5 O 2.10-2.13
O  0.0000  0.5000  0.2045  2 Cd 2.10
O  0.0000  0.5000  0.7955  2 Cd 2.10
O  0.5000  0.0000  0.2045  2 Cd 2.10
O  0.5000  0.0000  0.7955  2 Cd 2.10
O  0.5000  0.5000  0.5000  2 Cd 2.13

=====

# 4
A plane-wave DFT calculation with GGA-PBE was carried out for crystalline LiPaB at its relaxed geometry.

Values from the calculation:
Magnetic moment = 1.0 Bohr magnetons per cell
Energy above the lowest structure with this stoichiometry = 1.667 eV per formula unit
Crystal system = cubic

Lattice parameters (Å, degrees): 5.7101 5.7101 5.7101 90.00 90.00 90.00
With the nearest neighbours (Å) after each atom.
Element x y z (fractional)
Li  0.0000  0.0000  0.0000  4 Pa 2.47, 4 B 2.47
Li  0.0000  0.5000  0.5000  4 Pa 2.47, 4 B 2.47
Li  0.5000  0.0000  0.5000  4 Pa 2.47, 4 B 2.47
Li  0.5000  0.5000  0.0000  4 Pa 2.47, 4 B 2.47
Pa  0.2500  0.2500  0.2500  4 Li 2.47
Pa  0.2500  0.7500  0.7500  4 Li 2.47
Pa  0.7500  0.2500  0.7500  4 Li 2.47
Pa  0.7500  0.7500  0.2500  4 Li 2.47
B  0.2500  0.2500  0.7500  4 Li 2.47
B  0.2500  0.7500  0.2500  4 Li 2.47
B  0.7500  0.2500  0.2500  4 Li 2.47
B  0.7500  0.7500  0.7500  4 Li 2.47